A relaxed NpNbOs2 crystal, computed with PBE-GGA.

CIF file:
```
data_NpNbOs2
_space_group_name_H-M_alt 'P 1'
_space_group_IT_number 1
_cell_length_a 3.105
_cell_length_b 3.105
_cell_length_c 7.288
_cell_angle_alpha 90.00
_cell_angle_beta 90.00
_cell_angle_gamma 90.00
loop_
_space_group_symop_operation_xyz
'x,y,z'
loop_
_atom_site_label
_atom_site_fract_x
_atom_site_fract_y
_atom_site_fract_z
Os1 0.000 0.000 0.777
Os2 0.000 0.000 0.223
Np1 0.500 0.500 0.500
Nb1 0.500 0.500 0.000
```

ΔE_f: -0.06 eV/f.u.
space group: P4/mmm (123)
ΔE to the lowest computed polymorph: 0.000 eV/atom